A relaxed CaCS crystal. Source: the Alexandria database, functional GGA-PBE.

Summary:
N(E_F): 0.00 states/eV per atom
symmetry: No. 8
offset from the most stable computed form: 0.10 eV/f.u.
size of the total moment: 0.00 Bohr magnetons per cell

Geometry as POSCAR:
```
CaCS
1.0
8.973 0.000 0.002
0.000 4.110 0.000
-0.604 0.000 6.887
Ca C S
4 4 4
Cartesian
5.773 2.055 4.574 Ca
2.623 0.000 0.765 Ca
6.075 0.000 1.131 Ca
2.321 2.055 4.209 Ca
7.053 2.055 2.366 C
8.271 2.055 2.069 C
7.969 0.000 5.512 C
6.751 0.000 5.810 C
0.927 2.055 1.706 S
0.625 0.000 5.149 S
3.689 2.055 6.702 S
3.991 0.000 3.259 S
```


A relaxed TbEr4Ru2 crystal. Source: the Alexandria database, functional GGA-PBE.

Summary:
N(E_F): 0.88 states/eV per atom
symmetry: No. 11
size of the total moment: 0.00 Bohr magnetons per cell
ΔE_f: -0.284 eV per atom

Geometry as POSCAR:
```
TbEr4Ru2
1.0
-5.383 2.996 -1.258
0.297 -2.590 -7.438
-3.776 -4.827 4.664
Er Ru Tb
8 4 2
Cartesian
-3.429 -1.191 -3.844 Er
-0.749 -2.683 -3.218 Er
-3.397 -4.783 -4.711 Er
-2.502 -1.472 -0.655 Er
-8.114 -1.737 -0.814 Er
-5.433 -3.229 -0.188 Er
-5.465 0.362 0.679 Er
-6.360 -2.949 -3.377 Er
-3.904 0.218 -6.344 Ru
-5.492 -0.724 -1.797 Ru
-4.958 -4.638 2.312 Ru
-3.371 -3.696 -2.235 Ru
-4.078 1.708 -2.053 Tb
-4.784 -6.128 -1.979 Tb
```


A relaxed CaCeEuCd crystal. Source: the Alexandria database, functional GGA-PBE.

Summary:
N(E_F): 2.70 states/eV per atom
symmetry: No. 216
size of the total moment: 6.59 Bohr magnetons per cell
ΔE_f: 0.082 eV per atom

Geometry as POSCAR:
```
CaCeEuCd
1.0
-1.868 1.730 -5.050
-5.118 -1.581 -1.816
-4.183 3.793 -0.320
Ce Ca Eu Cd
1 1 1 1
Cartesian
-5.584 1.971 -3.593 Ce
0.000 0.000 0.000 Ca
-2.792 0.986 -1.797 Eu
-8.376 2.957 -5.390 Cd
```


A relaxed FeHg crystal. Source: the Alexandria database, functional GGA-PBE.

Summary:
N(E_F): 1.05 states/eV per atom
symmetry: No. 187
size of the total moment: 2.64 Bohr magnetons per cell
ΔE_f: 0.555 eV per atom

Geometry as POSCAR:
```
FeHg
1.0
-0.554 1.647 -2.393
-1.784 -2.257 0.687
-2.549 2.775 2.500
Fe Hg
1 1
Cartesian
0.000 0.000 0.000 Fe
-2.648 0.432 0.910 Hg
```


A relaxed Pr5Sm2In crystal. Source: the Alexandria database, functional GGA-PBE.

Summary:
N(E_F): 1.28 states/eV per atom
symmetry: No. 139
size of the total moment: 0.00 Bohr magnetons per cell
ΔE_f: -0.115 eV per atom

Geometry as POSCAR:
```
Pr5Sm2In
1.0
-2.555 -3.529 2.571
3.777 -0.292 3.353
-5.136 9.372 2.785
In Pr Sm
1 5 2
Cartesian
0.000 0.000 0.000 In
-2.379 0.052 2.685 Pr
0.611 -1.911 2.962 Pr
-4.700 3.880 5.633 Pr
0.787 1.671 3.076 Pr
-1.534 5.499 6.024 Pr
-1.637 1.797 5.817 Sm
-2.276 3.754 2.891 Sm
```


A relaxed Nd3SmPd12 crystal. Source: the Alexandria database, functional GGA-PBE.

Summary:
N(E_F): 0.58 states/eV per atom
symmetry: No. 123
size of the total moment: 0.00 Bohr magnetons per cell
ΔE_f: -0.776 eV per atom

Geometry as POSCAR:
```
Nd3SmPd12
1.0
-2.343 1.566 -3.095
1.163 -3.164 -2.482
-13.159 -9.058 5.379
Nd Pd Sm
3 12 1
Cartesian
-6.579 -4.529 2.690 Nd
-9.885 -6.804 4.041 Nd
-3.274 -2.254 1.338 Nd
-0.590 -0.799 -2.788 Pd
-12.706 -7.157 3.167 Pd
-10.470 -7.600 1.250 Pd
-6.100 -2.610 0.467 Pd
-10.953 -9.522 3.474 Pd
-3.869 -3.056 -1.448 Pd
-7.648 -7.247 2.123 Pd
-1.043 -2.700 -0.577 Pd
-9.402 -4.882 1.817 Pd
-4.347 -4.975 0.774 Pd
-2.796 -0.335 -0.884 Pd
-7.169 -5.328 -0.099 Pd
0.000 0.000 0.000 Sm
```


| no. | final energy (eV/atom) |
| --- | --- |
| 1 | -5.918 |
| 2 | -6.203 |
| 3 | -4.699 |
| 4 | -3.827 |
| 5 | -4.625 |
| 6 | -5.860 |